Model 1:
BaEr2O4 | GGA-PBE | optimized geometry

It has space group Cmcm (No. 63), with a = 3.425 Å, b = 11.281 Å, c = 11.445 Å, α = 90.00°, β = 90.00° and γ = 90.00°. The distinct sites, in fractional coordinates, are Ba at (0.000, 0.112, 0.250), Er at (0.000, 0.365, 0.071), O at (0.000, 0.000, 0.000), O at (0.000, 0.260, 0.601) and O at (0.000, 0.436, 0.250).

Its density is 8.05 g/cm³. The size of the total moment is 0.0 μB/cell.

***

Model 2:
BaEr2O4 | GGA-PBE | optimized geometry

It has space group Pnma (No. 62), with a = 10.445 Å, b = 3.447 Å, c = 12.114 Å, α = 90.00°, β = 90.00° and γ = 90.00°. The distinct sites, in fractional coordinates, are Ba at (0.246, 0.250, 0.149), Er at (0.073, 0.250, 0.389), Er at (0.078, 0.250, 0.891), O at (0.019, 0.750, 0.783), O at (0.070, 0.250, 0.574), O at (0.114, 0.750, 0.018) and O at (0.209, 0.750, 0.344).

Its density is 8.16 g/cm³. The size of the total moment is 0.0 μB/cell.

***

model 2 takes first place; second place is 41 meV per atom up.

***

Model 1:
BaErO2 | GGA-PBE | optimized geometry

It has space group R3m (No. 160, hexagonal axes), with a = 3.4893 Å, b = 3.4893 Å, c = 20.0170 Å, α = 90.00°, β = 90.00° and γ = 120.00°. The distinct sites, in fractional coordinates, are Ba at (0.0000, 0.0000, 0.0000), Er at (0.0000, 0.0000, 0.1733), O at (0.0000, 0.0000, 0.5642) and O at (0.0000, 0.0000, 0.7827).

Its density is 7.94 g/cm³. The size of the total moment is 1.0 μB/cell.

***

Model 2:
BaErO2 | GGA-PBE | optimized geometry

It has space group Pnma (No. 62), with a = 6.261 Å, b = 4.329 Å, c = 11.967 Å, α = 90.00°, β = 90.00° and γ = 90.00°. The distinct sites, in fractional coordinates, are Ba at (0.045, 0.250, 0.160), Er at (0.029, 0.750, 0.390), O at (0.030, 0.750, 0.583) and O at (0.219, 0.250, 0.753).

Its density is 6.89 g/cm³. The size of the total moment is 0.0 μB/cell.

***

model 2 takes first place; second place is 111 meV per atom up.

***

Model 1:
Ba4ErRu3O12 | GGA-PBE | optimized geometry

It has space group Im-3m (No. 229), with a = 8.283 Å, b = 8.283 Å, c = 8.283 Å, α = 90.00°, β = 90.00° and γ = 90.00°. The distinct sites, in fractional coordinates, are Ba at (0.250, 0.250, 0.250), Er at (0.000, 0.000, 0.000), Ru at (0.000, 0.000, 0.500), O at (0.000, 0.000, 0.263) and O at (0.000, 0.250, 0.500).

Its density is 7.08 g/cm³. The size of the total moment is 15.3 μB/cell.

***

Model 2:
Ba4ErRu3O12 | GGA-PBE | optimized geometry

It has space group R-3m (No. 166, hexagonal axes), with a = 5.9324 Å, b = 5.9324 Å, c = 29.4099 Å, α = 90.00°, β = 90.00° and γ = 120.00°. The distinct sites, in fractional coordinates, are Ba at (0.0000, 0.0000, 0.1288), Ba at (0.0000, 0.0000, 0.2860), Er at (0.0000, 0.0000, 0.0000), Ru at (0.0000, 0.0000, 0.4131), Ru at (0.0000, 0.0000, 0.5000), O at (0.0162, 0.5081, 0.2902) and O at (0.0229, 0.5115, 0.1242).

Its density is 6.73 g/cm³. The size of the total moment is 8.3 μB/cell.

***

model 2 takes first place; second place is 56 meV per atom up.

***

Model 1:
BaErPd2 | GGA-PBE | optimized geometry

It has space group R-3m (No. 166, hexagonal axes), with a = 4.7287 Å, b = 4.7287 Å, c = 17.5581 Å, α = 90.00°, β = 90.00° and γ = 120.00°. The distinct sites, in fractional coordinates, are Ba at (0.0000, 0.0000, 0.0000), Er at (0.0000, 0.0000, 0.5000) and Pd at (0.0000, 0.0000, 0.2094).

Its density is 7.58 g/cm³. The size of the total moment is 0.0 μB/cell.

***

Model 2:
BaErPd2 | GGA-PBE | optimized geometry

It has space group P4/mmm (No. 123), with a = 3.620 Å, b = 3.620 Å, c = 7.641 Å, α = 90.00°, β = 90.00° and γ = 90.00°. The distinct sites, in fractional coordinates, are Ba at (0.000, 0.000, 0.000), Er at (0.000, 0.000, 0.500) and Pd at (0.500, 0.500, 0.305).

Its density is 8.58 g/cm³. The size of the total moment is 0.0 μB/cell.

***

model 2 takes first place; second place is 72 meV per atom up.

***

Model 1:
BaPmEr | GGA-PBE | optimized geometry

It has space group P3m1 (No. 156), with a = 3.7842 Å, b = 3.7842 Å, c = 9.4036 Å, α = 90.00°, β = 90.00° and γ = 120.00°. The distinct sites, in fractional coordinates, are Ba at (0.0000, 0.0000, 0.0000), Pm at (0.3333, 0.6667, 0.6384) and Er at (0.6667, 0.3333, 0.3484).

Its density is 6.40 g/cm³. The size of the total moment is 0.0 μB/cell.

***

Model 2:
BaPmEr | GGA-PBE | optimized geometry

It has space group I4mm (No. 107), with a = 3.800 Å, b = 3.800 Å, c = 16.453 Å, α = 90.00°, β = 90.00° and γ = 90.00°. The distinct sites, in fractional coordinates, are Ba at (0.000, 0.000, 0.000), Pm at (0.000, 0.000, 0.317) and Er at (0.000, 0.000, 0.681).

Its density is 6.28 g/cm³. The size of the total moment is 0.0 μB/cell.

***

model 2 takes first place; second place is 11 meV per atom up.

***

Model 1:
BaPrEr | GGA-PBE | optimized geometry

It has space group P3m1 (No. 156), with a = 3.8096 Å, b = 3.8096 Å, c = 9.4705 Å, α = 90.00°, β = 90.00° and γ = 120.00°. The distinct sites, in fractional coordinates, are Ba at (0.0000, 0.0000, 0.0000), Pr at (0.3333, 0.6667, 0.6364) and Er at (0.6667, 0.3333, 0.3456).

Its density is 6.21 g/cm³. The size of the total moment is 0.0 μB/cell.

***

Model 2:
BaPrEr | GGA-PBE | optimized geometry

It has space group I4mm (No. 107), with a = 3.829 Å, b = 3.829 Å, c = 16.516 Å, α = 90.00°, β = 90.00° and γ = 90.00°. The distinct sites, in fractional coordinates, are Ba at (0.000, 0.000, 0.000), Pr at (0.000, 0.000, 0.684) and Er at (0.000, 0.000, 0.321).

Its density is 6.11 g/cm³. The size of the total moment is 0.0 μB/cell.

***

model 2 takes first place; second place is 13 meV per atom up.

***

Model 1:
BaPrEr2 | GGA-PBE | optimized geometry

It has space group R-3m (No. 166, hexagonal axes), with a = 3.6316 Å, b = 3.6316 Å, c = 38.7268 Å, α = 90.00°, β = 90.00° and γ = 120.00°. The distinct sites, in fractional coordinates, are Ba at (0.0000, 0.0000, 0.0000), Pr at (0.0000, 0.0000, 0.5000) and Er at (0.0000, 0.0000, 0.0929).

Its density is 6.90 g/cm³. The size of the total moment is 0.1 μB/cell.

***

Model 2:
BaPrEr2 | GGA-PBE | optimized geometry

It has space group P4/mmm (No. 123), with a = 3.733 Å, b = 3.733 Å, c = 10.758 Å, α = 90.00°, β = 90.00° and γ = 90.00°. The distinct sites, in fractional coordinates, are Ba at (0.000, 0.000, 0.000), Pr at (0.000, 0.000, 0.500) and Er at (0.500, 0.500, 0.279).

Its density is 6.79 g/cm³. The size of the total moment is 0.0 μB/cell.

***

model 2 takes first place; second place is 76 meV per atom up.

***

Model 1:
BaErS2 | GGA-PBE | optimized geometry

It has space group C2/m (No. 12), with a = 7.062 Å, b = 4.076 Å, c = 7.524 Å, α = 90.00°, β = 108.12° and γ = 90.00°. The distinct sites, in fractional coordinates, are Ba at (0.000, 0.000, 0.000), Er at (0.000, 0.500, 0.500) and S at (0.235, 0.000, 0.706).

Its density is 5.95 g/cm³. The size of the total moment is 0.0 μB/cell.

***

Model 2:
BaErS2 | GGA-PBE | optimized geometry

It has space group R3m (No. 160, hexagonal axes), with a = 4.0203 Å, b = 4.0203 Å, c = 22.2594 Å, α = 90.00°, β = 90.00° and γ = 120.00°. The distinct sites, in fractional coordinates, are Ba at (0.0000, 0.0000, 0.0000), Er at (0.0000, 0.0000, 0.8269), S at (0.0000, 0.0000, 0.2302) and S at (0.0000, 0.0000, 0.4277).

Its density is 5.90 g/cm³. The size of the total moment is 0.0 μB/cell.

***

model 1 takes first place; second place is 63 meV per atom up.

***

Model 1:
BaEr2Se4 | GGA-PBE | optimized geometry

It has space group Pnma (No. 62), with a = 12.813 Å, b = 4.186 Å, c = 15.125 Å, α = 90.00°, β = 90.00° and γ = 90.00°. The distinct sites, in fractional coordinates, are Ba at (0.240, 0.250, 0.165), Er at (0.063, 0.250, 0.391), Er at (0.079, 0.250, 0.900), Se at (0.025, 0.750, 0.783), Se at (0.085, 0.250, 0.576), Se at (0.125, 0.750, 0.025) and Se at (0.206, 0.750, 0.340).

Its density is 6.45 g/cm³. The size of the total moment is 0.0 μB/cell.

***

Model 2:
BaEr2Se4 | GGA-PBE | optimized geometry

It has space group Cmcm (No. 63), with a = 4.191 Å, b = 13.642 Å, c = 14.219 Å, α = 90.00°, β = 90.00° and γ = 90.00°. The distinct sites, in fractional coordinates, are Ba at (0.000, 0.110, 0.250), Er at (0.000, 0.365, 0.066), Se at (0.000, 0.000, 0.000), Se at (0.000, 0.267, 0.611) and Se at (0.000, 0.432, 0.250).

Its density is 6.44 g/cm³. The size of the total moment is 0.0 μB/cell.

***

model 1 takes first place; second place is 28 meV per atom up.

***

Model 1:
BaErSn2 | GGA-PBE | optimized geometry

It has space group R-3m (No. 166, hexagonal axes), with a = 5.0542 Å, b = 5.0542 Å, c = 19.2913 Å, α = 90.00°, β = 90.00° and γ = 120.00°. The distinct sites, in fractional coordinates, are Ba at (0.0000, 0.0000, 0.0000), Er at (0.0000, 0.0000, 0.5000) and Sn at (0.0000, 0.0000, 0.2240).

Its density is 6.33 g/cm³. The size of the total moment is 0.0 μB/cell.

***

Model 2:
BaErSn2 | GGA-PBE | optimized geometry

It has space group P4/mmm (No. 123), with a = 4.090 Å, b = 4.090 Å, c = 7.606 Å, α = 90.00°, β = 90.00° and γ = 90.00°. The distinct sites, in fractional coordinates, are Ba at (0.000, 0.000, 0.000), Er at (0.000, 0.000, 0.500) and Sn at (0.500, 0.500, 0.303).

Its density is 7.07 g/cm³. The size of the total moment is 0.0 μB/cell.

***

model 2 takes first place; second place is 143 meV per atom up.

***

Model 1:
BaSr2Er | GGA-PBE | optimized geometry

It has space group R-3m (No. 166, hexagonal axes), with a = 3.9193 Å, b = 3.9193 Å, c = 42.9289 Å, α = 90.00°, β = 90.00° and γ = 120.00°. The distinct sites, in fractional coordinates, are Ba at (0.0000, 0.0000, 0.0000), Sr at (0.0000, 0.0000, 0.4178) and Er at (0.0000, 0.0000, 0.5000).

Its density is 4.19 g/cm³. The size of the total moment is 1.9 μB/cell.

***

Model 2:
BaSr2Er | GGA-PBE | optimized geometry

It has space group P4/mmm (No. 123), with a = 4.307 Å, b = 4.307 Å, c = 10.419 Å, α = 90.00°, β = 90.00° and γ = 90.00°. The distinct sites, in fractional coordinates, are Ba at (0.000, 0.000, 0.000), Sr at (0.500, 0.500, 0.291) and Er at (0.000, 0.000, 0.500).

Its density is 4.12 g/cm³. The size of the total moment is 0.0 μB/cell.

***

model 2 takes first place; second place is 204 meV per atom up.

***

Model 1:
BaErTe2 | GGA-PBE | optimized geometry

It has space group R-3m (No. 166, hexagonal axes), with a = 4.5478 Å, b = 4.5478 Å, c = 23.4503 Å, α = 90.00°, β = 90.00° and γ = 120.00°. The distinct sites, in fractional coordinates, are Ba at (0.0000, 0.0000, 0.0000), Er at (0.0000, 0.0000, 0.5000) and Te at (0.0000, 0.0000, 0.2374).

Its density is 6.64 g/cm³. The size of the total moment is 0.0 μB/cell.

***

Model 2:
BaErTe2 | GGA-PBE | optimized geometry

It has space group R3m (No. 160, hexagonal axes), with a = 4.4724 Å, b = 4.4724 Å, c = 24.4029 Å, α = 90.00°, β = 90.00° and γ = 120.00°. The distinct sites, in fractional coordinates, are Ba at (0.0000, 0.0000, 0.0000), Er at (0.0000, 0.0000, 0.1721), Te at (0.0000, 0.0000, 0.5734) and Te at (0.0000, 0.0000, 0.7664).

Its density is 6.60 g/cm³. The size of the total moment is 0.0 μB/cell.

***

model 1 takes first place; second place is 35 meV per atom up.